DFT (GGA+U) results for a relaxed BaMoO2 crystal.

Summary:
As for the density of states at the Fermi level: 13.0 states/eV per cell. The value obtained for the energy above the most stable polymorph in this dataset is 797 meV/atom. As for the mass density: 6.73 g cm⁻³.

Cell: 6.3984 6.3984 6.3984 Å, 90.00 90.00 90.00°
With the nearest neighbours (Å) after each atom.
Space group Fm-3m (No. 225)
Asymmetric unit:
Ba 0.0000 0.0000 0.0000  8 O 2.77
Mo 0.0000 0.0000 0.5000  8 O 2.77
O 0.2500 0.2500 0.2500  4 Ba 2.77, 4 Mo 2.77